Entry from the Alexandria database: a geometry-optimized TcP2PbO8 structure (PBE-GGA).

Properties
Raw total energy   -7.244 eV/atom
Uncorrected formation energy   -1.864 eV/atom

Unit cell a=4.907 b=4.907 c=7.597 alpha=88.09 beta=88.09 gamma=65.14
Sites, in units of the cell vectors:
O 0.712 0.231 0.805
O 0.299 0.299 0.598
O 0.701 0.701 0.402
O 0.231 0.712 0.805
O 0.235 0.235 0.938
O 0.765 0.765 0.062
O 0.769 0.288 0.195
O 0.288 0.769 0.195
Pb 0.000 0.000 0.500
P 0.639 0.639 0.216
P 0.361 0.361 0.784
Tc 0.000 0.000 0.000